This record from the Alexandria database describes TaNbMo2W2 after structural relaxation. The functional is PBE-GGA.

a = 4.524 Å, b = 5.444 Å, c = 8.205 Å
α = 90.00°, β = 90.00°, γ = 90.00°
Atoms (fractional coordinates):
Ta  0.500  0.181  0.674
Ta  0.500  0.681  0.326
Nb  0.000  0.996  0.495
Nb  0.000  0.496  0.505
Mo  0.000  0.337  0.836
Mo  0.500  0.182  0.322
Mo  0.000  0.837  0.164
Mo  0.500  0.682  0.678
W  0.500  0.014  0.004
W  0.000  0.336  0.171
W  0.500  0.514  0.996
W  0.000  0.836  0.829

Formation enthalpy at 0 K in eV/f.u.: 0.45